An optimized crystal structure of La4SiSnI2, computed with PBE-GGA.

Computed properties:
Crystal system = monoclinic
Formation energy (no corrections) = -0.991 eV/atom

Cell lengths 7.952, 4.544, 8.111 Å; angles 90.00, 108.80, 90.00 degrees
Element x y z (fractional)
La1 0.222 0.000 0.207
La2 0.246 0.500 0.785
La3 0.754 0.500 0.215
La4 0.778 0.000 0.793
Si1 0.000 0.500 0.000
Sn1 0.500 0.000 0.000
I1 0.000 0.000 0.500
I2 0.500 0.500 0.500

An optimized crystal structure of La2PaInN5, computed with PBE-GGA.

Computed properties:
Crystal system = orthorhombic
Formation energy (no corrections) = -0.944 eV/atom

Cell lengths 7.408, 7.408, 11.031 Å; angles 90.00, 90.00, 151.93 degrees
Element x y z (fractional)
La1 0.107 0.893 0.500
La2 0.130 0.870 0.097
La3 0.870 0.130 0.597
La4 0.893 0.107 0.000
Pa1 0.215 0.785 0.814
Pa2 0.785 0.215 0.314
In1 0.479 0.521 0.277
In2 0.521 0.479 0.777
N1 0.063 0.937 0.869
N2 0.277 0.723 0.449
N3 0.304 0.696 0.185
N4 0.366 0.634 0.816
N5 0.494 0.506 0.584
N6 0.506 0.494 0.084
N7 0.634 0.366 0.316
N8 0.696 0.304 0.685
N9 0.723 0.277 0.949
N10 0.937 0.063 0.369

An optimized crystal structure of MgURu4, computed with PBE-GGA.

Computed properties:
Total DFT energy (no corrections) = -49.992 eV per formula unit
Crystal system = cubic

Cell lengths 5.234, 5.234, 5.234 Å; angles 60.00, 60.00, 60.00 degrees
Element x y z (fractional)
Mg1 0.000 0.000 0.000
U1 0.750 0.750 0.750
Ru1 0.374 0.374 0.374
Ru2 0.374 0.374 0.877
Ru3 0.374 0.877 0.374
Ru4 0.877 0.374 0.374

An optimized crystal structure of AcZr3, computed with PBE-GGA.

Computed properties:
Crystal system = orthorhombic
Energy relative to the lowest polymorph listed for this composition = 0.0 kJ/mol of atoms

Cell lengths 3.333, 5.405, 6.092 Å; angles 90.00, 90.00, 90.00 degrees
Element x y z (fractional)
Ac1 0.000 0.000 0.000
Zr1 0.000 0.500 0.671
Zr2 0.500 0.000 0.499
Zr3 0.500 0.500 0.242

An optimized crystal structure of Ho2NiGe3, computed with PBE-GGA.

Computed properties:
Crystal system = monoclinic
Energy relative to the lowest polymorph listed for this composition = 2.0 kJ/mol of atoms

Cell lengths 5.635, 5.635, 6.887 Å; angles 127.42, 127.42, 43.75 degrees
Element x y z (fractional)
Ho1 0.000 0.000 0.000
Ho2 0.115 0.115 0.598
Ni1 0.382 0.382 0.549
Ge1 0.386 0.386 0.192
Ge2 0.674 0.674 0.938
Ge3 0.745 0.745 0.425

An optimized crystal structure of Pr2SmTmS5, computed with PBE-GGA.

Computed properties:
Crystal system = tetragonal
Formation energy (no corrections) = -1.529 eV/atom

Cell lengths 4.830, 4.830, 10.399 Å; angles 90.00, 90.00, 90.00 degrees
Element x y z (fractional)
Pr1 0.000 0.000 0.200
Pr2 0.000 0.000 0.800
Sm1 0.500 0.500 0.500
Tm1 0.500 0.500 0.000
S1 0.000 0.000 0.500
S2 0.000 0.500 0.000
S3 0.500 0.000 0.000
S4 0.500 0.500 0.251
S5 0.500 0.500 0.749